The following is a PBE calculation of a geometry-optimized Sr2InHg4Bi2 structure, from Alexandria. Values from VASP.

## Properties
Energy of formation from the pure elements, kJ/mol of formula units: -299

Cell and atoms, written as Quantum ESPRESSO input:
```
&SYSTEM
  ibrav = 0, nat = 9, ntyp = 4
/
ATOMIC_SPECIES
Sr 87.62 Sr.upf
In 114.82 In.upf
Hg 200.59 Hg.upf
Bi 208.98 Bi.upf
ATOMIC_POSITIONS crystal
Sr 0.2500 0.7500 0.5000
Sr 0.7500 0.2500 0.5000
In 0.0000 0.0000 0.0000
Hg 0.2849 0.2849 0.5698
Hg 0.2849 0.7151 0.0000
Hg 0.7151 0.2849 0.0000
Hg 0.7151 0.7151 0.4302
Bi 0.2693 0.2693 0.0000
Bi 0.7307 0.7307 0.0000
CELL_PARAMETERS angstrom
-3.5711 3.5711 5.5858
3.5711 -3.5711 5.5858
3.5711 3.5711 -5.5858
```